# 1
First-principles (PBE) data for PmMg8Pd4 after structural relaxation, as listed in Alexandria.

The value obtained for the formation energy is -500 meV per atom. The density comes out at 5.0 g/cm3.

The structure belongs to space group I4/mmm (No. 139); the cell edges are 9.449, 9.449 and 5.673 Å and the angles 90.00°, 90.00° and 90.00°. The asymmetric unit holds Pm at (0.000, 0.000, 0.000), Mg at (0.000, 0.220, 0.500), Mg at (0.000, 0.337, 0.000) and Pd at (0.250, 0.250, 0.250).

=====

# 2
First-principles (PBE) data for PmMgPd4 after structural relaxation, as listed in Alexandria.

The value obtained for the formation energy is -436 meV per atom. The density comes out at 8.0 g/cm3.

The structure belongs to space group P4/mmm (No. 123); the cell edges are 3.948, 3.948 and 7.943 Å and the angles 90.00°, 90.00° and 90.00°. The asymmetric unit holds Pm at (0.000, 0.000, 0.000), Mg at (0.500, 0.500, 0.500) and Pd at (0.000, 0.500, 0.270).

=====

# 3
First-principles (PBE) data for Pm2MgPd2 after structural relaxation, as listed in Alexandria.

The value obtained for the formation energy is -720 meV per atom. The density comes out at 7.4 g/cm3.

The structure belongs to space group P4/mbm (No. 127); the cell edges are 7.698, 7.698 and 4.011 Å and the angles 90.00°, 90.00° and 90.00°. The asymmetric unit holds Pm at (0.171, 0.329, 0.000), Mg at (0.000, 0.000, 0.500) and Pd at (0.131, 0.631, 0.500).

=====

# 4
First-principles (PBE) data for Pm2MgPd4 after structural relaxation, as listed in Alexandria.

The value obtained for the formation energy is -340 meV per atom. The density comes out at 7.6 g/cm3.

The structure belongs to space group I4/mmm (No. 139); the cell edges are 4.688, 4.688 and 14.728 Å and the angles 90.00°, 90.00° and 90.00°. The asymmetric unit holds Pm at (0.000, 0.000, 0.140), Mg at (0.000, 0.000, 0.500), Pd at (0.000, 0.000, 0.330) and Pd at (0.000, 0.500, 0.000).

=====

# 5
First-principles (PBE) data for PmMg4Pd after structural relaxation, as listed in Alexandria.

The value obtained for the formation energy is -350 meV per atom. The density comes out at 4.2 g/cm3.

The structure belongs to space group Pmma (No. 51); the cell edges are 8.835, 4.162 and 7.541 Å and the angles 90.00°, 90.00° and 90.00°. The asymmetric unit holds Pm at (0.250, 0.000, 0.100), Mg at (0.000, 0.000, 0.500), Mg at (0.060, 0.500, 0.806), Mg at (0.250, 0.500, 0.451) and Pd at (0.250, 0.000, 0.703).

=====

# 6
First-principles (PBE) data for PmMg4Pd5 after structural relaxation, as listed in Alexandria.

The value obtained for the formation energy is -714 meV per atom. The density comes out at 7.3 g/cm3.

The structure belongs to space group P4/mmm (No. 123); the cell edges are 3.285, 3.285 and 16.271 Å and the angles 90.00°, 90.00° and 90.00°. The asymmetric unit holds Pm at (0.000, 0.000, 0.000), Mg at (0.000, 0.000, 0.217), Mg at (0.000, 0.000, 0.406), Pd at (0.500, 0.500, 0.124), Pd at (0.500, 0.500, 0.311) and Pd at (0.500, 0.500, 0.500).

=====

# 7
First-principles (PBE) data for PmMg2Pd after structural relaxation, as listed in Alexandria.

The value obtained for the formation energy is -277 meV per atom. The density comes out at 5.3 g/cm3.

The structure belongs to space group R-3m (No. 166, hexagonal axes); the cell edges are 4.5378, 4.5378 and 15.7589 Å and the angles 90.00°, 90.00° and 120.00°. The asymmetric unit holds Pm at (0.0000, 0.0000, 0.0000), Mg at (0.0000, 0.0000, 0.2128) and Pd at (0.0000, 0.0000, 0.5000).

=====

# 8
First-principles (PBE) data for Pm3Mg4Pd4 after structural relaxation, as listed in Alexandria.

The value obtained for the formation energy is -636 meV per atom. The density comes out at 6.5 g/cm3.

The structure belongs to space group Immm (No. 71); the cell edges are 4.104, 8.040 and 14.782 Å and the angles 90.00°, 90.00° and 90.00°. The asymmetric unit holds Pm at (0.000, 0.000, 0.000), Pm at (0.000, 0.500, 0.118), Mg at (0.000, 0.308, 0.326), Pd at (0.000, 0.000, 0.228) and Pd at (0.000, 0.192, 0.500).

=====

# 9
First-principles (PBE) data for PmMg9Pd3 after structural relaxation, as listed in Alexandria.

The value obtained for the formation energy is -394 meV per atom. The density comes out at 4.3 g/cm3.

The structure belongs to space group C2/m (No. 12); the cell edges are 5.625, 14.074 and 7.191 Å and the angles 90.00°, 110.81° and 90.00°. The asymmetric unit holds Pm at (0.000, 0.000, 0.000), Mg at (0.000, 0.000, 0.500), Mg at (0.092, 0.388, 0.214), Mg at (0.158, 0.177, 0.327), Pd at (0.000, 0.500, 0.500) and Pd at (0.250, 0.250, 0.000).

=====

# 10
First-principles (PBE) data for PmMgPd14 after structural relaxation, as listed in Alexandria.

The value obtained for the formation energy is -289 meV per atom. The density comes out at 10.6 g/cm3.

The structure belongs to space group P4/mmm (No. 123); the cell edges are 5.697, 5.697 and 7.987 Å and the angles 90.00°, 90.00° and 90.00°. The asymmetric unit holds Pm at (0.000, 0.000, 0.000), Mg at (0.500, 0.500, 0.000), Pd at (0.000, 0.000, 0.500), Pd at (0.000, 0.500, 0.000), Pd at (0.000, 0.500, 0.500), Pd at (0.254, 0.254, 0.256) and Pd at (0.500, 0.500, 0.500).

=====

# 11
First-principles (PBE) data for Pm2MgPd after structural relaxation, as listed in Alexandria.

The value obtained for the formation energy is -425 meV per atom. The density comes out at 6.7 g/cm3.

The structure belongs to space group P4/mmm (No. 123); the cell edges are 3.720, 3.720 and 7.531 Å and the angles 90.00°, 90.00° and 90.00°. The asymmetric unit holds Pm at (0.000, 0.000, 0.224), Mg at (0.500, 0.500, 0.500) and Pd at (0.500, 0.500, 0.000).

=====

# 12
First-principles (PBE) data for PmMgPd after structural relaxation, as listed in Alexandria.

The value obtained for the formation energy is -505 meV per atom. The density comes out at 6.7 g/cm3.

The structure belongs to space group I4mm (No. 107); the cell edges are 3.490, 3.490 and 11.235 Å and the angles 90.00°, 90.00° and 90.00°. The asymmetric unit holds Pm at (0.000, 0.000, 0.000), Mg at (0.000, 0.000, 0.716) and Pd at (0.000, 0.000, 0.337).